(1)
Entry from Alexandria via LeMat-Bulk: an optimized crystal structure of TlH3W (PBE).

Geometry as POSCAR:
```
TlH3W
1.0
3.718 0.000 0.000
0.000 3.718 0.000
0.000 0.000 3.718
H Tl W
3 1 1
Direct
0.000 0.500 0.000
0.000 0.000 0.500
0.500 0.000 0.000
0.500 0.500 0.500
0.000 0.000 0.000
```

Properties
As for the space group: No. 221. The excess energy over the best structure of this formula in the dataset comes out at 0.0 kJ per mole of atoms.

***

(2)
Entry from Alexandria via LeMat-Bulk: an optimized crystal structure of LaYIn2 (PBE).

Geometry as POSCAR:
```
LaYIn2
1.0
-2.124 -2.219 1.982
-1.863 -0.906 -3.012
5.694 -6.777 -1.484
In La Y
2 1 1
Direct
0.000 0.000 0.017
0.500 0.500 0.221
0.000 0.000 0.479
0.500 0.500 0.783
```

Properties
As for the space group: No. 99. The total DFT energy (no corrections) comes out at -4.4434 eV per atom.

***

(3)
Entry from Alexandria via LeMat-Bulk: an optimized crystal structure of RbZn2F (PBE).

Geometry as POSCAR:
```
RbZn2F
1.0
9.320 0.000 0.000
0.000 9.320 0.000
4.660 4.660 2.571
Zn Rb F
4 2 2
Direct
0.592 0.125 0.250
0.158 0.625 0.250
0.375 0.408 0.750
0.875 0.842 0.750
0.000 0.000 0.000
0.750 0.250 0.500
0.500 0.500 0.000
0.250 0.750 0.500
```

Properties
As for the space group: No. 122. The uncorrected formation energy comes out at -0.712 eV per atom. The excess energy over the best structure of this formula in the dataset comes out at 0.0 kJ per mole of atoms.

***

(4)
Entry from Alexandria via LeMat-Bulk: an optimized crystal structure of SmYCo (PBE).

Geometry as POSCAR:
```
SmYCo
1.0
-2.274 -1.870 2.591
-0.556 -0.539 -3.844
4.024 -4.773 0.088
Y Co Sm
1 1 1
Direct
0.333 0.667 0.565
0.667 0.333 0.334
0.000 0.000 0.101
```

Properties
As for the space group: No. 156. The excess energy over the best structure of this formula in the dataset comes out at 7.4 kJ per mole of atoms.

***

(5)
Entry from Alexandria via LeMat-Bulk: an optimized crystal structure of SrPBr (PBE).

Geometry as POSCAR:
```
SrPBr
1.0
-0.654 4.287 1.363
-1.775 -1.430 -3.933
-5.650 -1.892 3.237
Br P Sr
1 1 1
Direct
0.000 0.000 0.906
0.667 0.333 0.425
0.333 0.667 0.669
```

Properties
As for the space group: No. 156. The uncorrected formation energy comes out at -0.540 eV per atom. The excess energy over the best structure of this formula in the dataset comes out at 70.9 kJ per mole of atoms.

***

(6)
Entry from Alexandria via LeMat-Bulk: an optimized crystal structure of Ce2PrZn2Ge2 (PBE).

Geometry as POSCAR:
```
Ce2PrZn2Ge2
1.0
4.329 0.000 0.000
2.164 3.749 0.000
2.164 1.250 9.430
Ce Pr Zn Ge
2 1 2 2
Direct
0.142 0.142 0.573
0.858 0.858 0.427
0.000 0.000 0.000
0.591 0.591 0.227
0.409 0.409 0.773
0.737 0.737 0.788
0.263 0.263 0.212
```

Properties
As for the space group: No. 166. The total DFT energy (no corrections) comes out at -4.5012 eV per atom.

***

Number 1: size of the total moment 0.000 μB per cell. Number 2: size of the total moment 0.000 μB per cell. Number 3: size of the total moment 0.000 μB per cell. Number 4: size of the total moment 0.000 μB per cell. Number 5: size of the total moment 2.000 μB per cell. Number 6: size of the total moment 2.018 μB per cell.